A plane-wave DFT calculation with PBE-GGA was carried out for RbPaTe4Pd2 after structural relaxation.

Geometry as POSCAR:
```
RbPaTe4Pd2
1.0
6.4629 0.0000 0.0000
3.2314 6.1167 0.0616
3.2314 0.5627 6.0910
Te Rb Pd Pa
4 1 2 1
Direct
0.9117 0.5237 0.0580 Te
0.0883 0.9420 0.4763 Te
0.5066 0.0580 0.5237 Te
0.4934 0.4763 0.9420 Te
0.0000 0.0000 0.0000 Rb
0.1562 0.3438 0.3438 Pd
0.8438 0.6562 0.6562 Pd
0.5000 0.5000 0.5000 Pa
```

formation energy without anion corrections: -42.07 kJ/mol of atoms
space group: I222, No. 23

=====

A plane-wave DFT calculation with PBE-GGA was carried out for MnVGaAu after structural relaxation.

Geometry as POSCAR:
```
MnVGaAu
1.0
4.4020 0.0000 0.0000
2.2010 3.8123 0.0000
2.2010 1.2708 3.5942
V Mn Ga Au
1 1 1 1
Direct
0.2500 0.2500 0.2500 V
0.5000 0.5000 0.5000 Mn
0.0000 0.0000 0.0000 Ga
0.7500 0.7500 0.7500 Au
```

E_tot: -24.8 eV/cell
space group: F-43m, No. 216

=====

Number 1: calculated volume 30.07 Å³ per atom. Number 2: calculated volume 15.08 Å³ per atom.